*A*
A relaxed structure of LaTb2Si, computed with PBE.

Properties
The size of the total moment is 0.0 Bohr magnetons per cell. The density of states at the Fermi level comes out at 14.89 states/eV/cell.

Cell and atoms, written as CIF:
```
data_LaTb2Si
_chemical_formula_sum 'La3 Tb6 Si3'
_cell_length_a 3.6258
_cell_length_b 3.6258
_cell_length_c 32.7701
_cell_angle_alpha 90.00
_cell_angle_beta 90.00
_cell_angle_gamma 120.00
_space_group_name_H-M_alt 'R -3 m'
_space_group_IT_number 166
_space_group_name_Hall '-R 3 2"'
loop_
_atom_site_label
_atom_site_type_symbol
_atom_site_fract_x
_atom_site_fract_y
_atom_site_fract_z
La1 La 0.0000 0.0000 0.0000
Tb1 Tb 0.0000 0.0000 0.1083
Si1 Si 0.0000 0.0000 0.5000
```

=====

*B*
A relaxed structure of LaTb2Si, computed with PBE.

Properties
The size of the total moment is 0.0 Bohr magnetons per cell. The density of states at the Fermi level comes out at 16.17 states/eV/cell.

Cell and atoms, written as CIF:
```
data_LaTb2Si
_chemical_formula_sum 'La3 Tb6 Si3'
_cell_length_a 3.9852
_cell_length_b 3.9852
_cell_length_c 28.0172
_cell_angle_alpha 90.00
_cell_angle_beta 90.00
_cell_angle_gamma 120.00
_space_group_name_H-M_alt 'R 3 m'
_space_group_IT_number 160
_space_group_name_Hall 'R 3 -2"'
loop_
_atom_site_label
_atom_site_type_symbol
_atom_site_fract_x
_atom_site_fract_y
_atom_site_fract_z
La1 La 0.0000 0.0000 0.0000
Tb1 Tb 0.0000 0.0000 0.2283
Tb2 Tb 0.0000 0.0000 0.4447
Si1 Si 0.0000 0.0000 0.8372
```

=====

List of relative energies, unit kJ/mol of atoms: *A* 12.8; *B* 0.0

=====

*A*
A relaxed structure of LaSiTc, computed with PBE.

Properties
The size of the total moment is 0.0 Bohr magnetons per cell. The density of states at the Fermi level comes out at 2.65 states/eV/cell.

Cell and atoms, written as CIF:
```
data_LaSiTc
_chemical_formula_sum 'La1 Si1 Tc1'
_cell_length_a 4.1626
_cell_length_b 4.1626
_cell_length_c 4.4428
_cell_angle_alpha 90.00
_cell_angle_beta 90.00
_cell_angle_gamma 120.00
_space_group_name_H-M_alt 'P -6 m 2'
_space_group_IT_number 187
_space_group_name_Hall 'P -6 2'
loop_
_atom_site_label
_atom_site_type_symbol
_atom_site_fract_x
_atom_site_fract_y
_atom_site_fract_z
La1 La 0.0000 0.0000 0.0000
Si1 Si 0.3333 0.6667 0.5000
Tc1 Tc 0.6667 0.3333 0.5000
```

=====

*B*
A relaxed structure of LaSiTc, computed with PBE.

Properties
The size of the total moment is 0.0 Bohr magnetons per cell. The density of states at the Fermi level comes out at 2.61 states/eV/cell.

Cell and atoms, written as CIF:
```
data_LaSiTc
_chemical_formula_sum 'La2 Si2 Tc2'
_cell_length_a 3.314
_cell_length_b 3.314
_cell_length_c 10.768
_cell_angle_alpha 90.00
_cell_angle_beta 90.00
_cell_angle_gamma 90.00
_space_group_name_H-M_alt 'I 4 m m'
_space_group_IT_number 107
_space_group_name_Hall 'I 4 -2'
loop_
_atom_site_label
_atom_site_type_symbol
_atom_site_fract_x
_atom_site_fract_y
_atom_site_fract_z
La1 La 0.000 0.000 0.000
Si1 Si 0.000 0.000 0.708
Tc1 Tc 0.000 0.000 0.291
```

=====

List of relative energies, unit kJ/mol of atoms: *A* 0.0; *B* 3.5

=====

*A*
A relaxed structure of LaSiTc, computed with PBE.

Properties
The size of the total moment is 0.0 Bohr magnetons per cell. The density of states at the Fermi level comes out at 3.45 states/eV/cell.

Cell and atoms, written as CIF:
```
data_LaSiTc
_chemical_formula_sum 'La2 Si2 Tc2'
_cell_length_a 4.422
_cell_length_b 4.422
_cell_length_c 6.744
_cell_angle_alpha 90.00
_cell_angle_beta 90.00
_cell_angle_gamma 90.00
_space_group_name_H-M_alt 'P 4/n m m'
_space_group_IT_number 129
loop_
_space_group_symop_operation_xyz
'x,y,z'
'-x,-y,-z'
'-y+1/2,x,z'
'y+1/2,-x,-z'
'-x+1/2,-y+1/2,z'
'x+1/2,y+1/2,-z'
'y,-x+1/2,z'
'-y,x+1/2,-z'
'x+1/2,-y,-z'
'-x+1/2,y,z'
'-y,-x,-z'
'y,x,z'
'-x,y+1/2,-z'
'x,-y+1/2,z'
'y+1/2,x+1/2,-z'
'-y+1/2,-x+1/2,z'
loop_
_atom_site_label
_atom_site_type_symbol
_atom_site_fract_x
_atom_site_fract_y
_atom_site_fract_z
La1 La 0.250 0.250 0.189
Si1 Si 0.250 0.250 0.668
Tc1 Tc 0.250 0.750 0.500
```

=====

*B*
A relaxed structure of LaSiTc, computed with PBE.

Properties
The size of the total moment is 2.7 Bohr magnetons per cell. The density of states at the Fermi level comes out at 21.60 states/eV/cell.

Cell and atoms, written as CIF:
```
data_LaSiTc
_chemical_formula_sum 'La4 Si4 Tc4'
_cell_length_a 6.628
_cell_length_b 6.628
_cell_length_c 6.628
_cell_angle_alpha 90.00
_cell_angle_beta 90.00
_cell_angle_gamma 90.00
_space_group_name_H-M_alt 'F -4 3 m'
_space_group_IT_number 216
_space_group_name_Hall 'F -4 2 3'
loop_
_atom_site_label
_atom_site_type_symbol
_atom_site_fract_x
_atom_site_fract_y
_atom_site_fract_z
La1 La 0.000 0.000 0.000
Si1 Si 0.250 0.250 0.250
Tc1 Tc 0.250 0.250 0.750
```

=====

List of relative energies, unit kJ/mol of atoms: *A* 0.0; *B* 163.8

=====

*A*
A relaxed structure of LaSi2Tc, computed with PBE.

Properties
The size of the total moment is 0.0 Bohr magnetons per cell. The density of states at the Fermi level comes out at 3.46 states/eV/cell.

Cell and atoms, written as CIF:
```
data_LaSi2Tc
_chemical_formula_sum 'La2 Si4 Tc2'
_cell_length_a 8.033
_cell_length_b 3.496
_cell_length_c 6.565
_cell_angle_alpha 90.00
_cell_angle_beta 118.53
_cell_angle_gamma 90.00
_space_group_name_H-M_alt 'C 1 m 1'
_space_group_IT_number 8
loop_
_space_group_symop_operation_xyz
'x,y,z'
'x,-y,z'
'x+1/2,y+1/2,z'
'x+1/2,-y+1/2,z'
loop_
_atom_site_label
_atom_site_type_symbol
_atom_site_fract_x
_atom_site_fract_y
_atom_site_fract_z
La1 La 0.000 0.000 0.000
Si1 Si 0.145 0.000 0.616
Si2 Si 0.439 0.000 0.332
Tc1 Tc 0.291 0.500 0.461
```

=====

*B*
A relaxed structure of LaSi2Tc, computed with PBE.

Properties
The size of the total moment is 0.0 Bohr magnetons per cell. The density of states at the Fermi level comes out at 5.19 states/eV/cell.

Cell and atoms, written as CIF:
```
data_LaSi2Tc
_chemical_formula_sum 'La2 Si4 Tc2'
_cell_length_a 7.641
_cell_length_b 3.941
_cell_length_c 5.684
_cell_angle_alpha 90.00
_cell_angle_beta 111.73
_cell_angle_gamma 90.00
_space_group_name_H-M_alt 'C 1 2/m 1'
_space_group_IT_number 12
loop_
_space_group_symop_operation_xyz
'x,y,z'
'-x,-y,-z'
'-x,y,-z'
'x,-y,z'
'x+1/2,y+1/2,z'
'-x+1/2,-y+1/2,-z'
'-x+1/2,y+1/2,-z'
'x+1/2,-y+1/2,z'
loop_
_atom_site_label
_atom_site_type_symbol
_atom_site_fract_x
_atom_site_fract_y
_atom_site_fract_z
La1 La 0.000 0.000 0.000
Si1 Si 0.217 0.000 0.623
Tc1 Tc 0.000 0.500 0.500
```

=====

List of relative energies, unit kJ/mol of atoms: *A* 13.1; *B* 0.0

=====

*A*
A relaxed structure of LaSi2Tc, computed with PBE.

Properties
The size of the total moment is 0.0 Bohr magnetons per cell. The density of states at the Fermi level comes out at 4.05 states/eV/cell.

Cell and atoms, written as CIF:
```
data_LaSi2Tc
_chemical_formula_sum 'La1 Si2 Tc1'
_cell_length_a 3.310
_cell_length_b 3.901
_cell_length_c 6.099
_cell_angle_alpha 90.00
_cell_angle_beta 98.66
_cell_angle_gamma 90.00
_space_group_name_H-M_alt 'P 1 m 1'
_space_group_IT_number 6
loop_
_space_group_symop_operation_xyz
'x,y,z'
'x,-y,z'
loop_
_atom_site_label
_atom_site_type_symbol
_atom_site_fract_x
_atom_site_fract_y
_atom_site_fract_z
La1 La 0.000 0.000 0.000
Si1 Si 0.575 0.500 0.251
Si2 Si 0.626 0.000 0.493
Tc1 Tc 0.156 0.500 0.552
```

=====

*B*
A relaxed structure of LaSi2Tc, computed with PBE.

Properties
The size of the total moment is 0.0 Bohr magnetons per cell. The density of states at the Fermi level comes out at 6.08 states/eV/cell.

Cell and atoms, written as CIF:
```
data_LaSi2Tc
_chemical_formula_sum 'La2 Si4 Tc2'
_cell_length_a 5.740
_cell_length_b 7.633
_cell_length_c 3.536
_cell_angle_alpha 90.00
_cell_angle_beta 101.10
_cell_angle_gamma 90.00
_space_group_name_H-M_alt 'C 1 2/m 1'
_space_group_IT_number 12
loop_
_space_group_symop_operation_xyz
'x,y,z'
'-x,-y,-z'
'-x,y,-z'
'x,-y,z'
'x+1/2,y+1/2,z'
'-x+1/2,-y+1/2,-z'
'-x+1/2,y+1/2,-z'
'x+1/2,-y+1/2,z'
loop_
_atom_site_label
_atom_site_type_symbol
_atom_site_fract_x
_atom_site_fract_y
_atom_site_fract_z
La1 La 0.000 0.000 0.000
Si1 Si 0.250 0.250 0.500
Tc1 Tc 0.000 0.500 0.000
```

=====

List of relative energies, unit kJ/mol of atoms: *A* 0.0; *B* 41.9

=====

*A*
A relaxed structure of LaSi2Tc, computed with PBE.

Properties
The size of the total moment is 0.0 Bohr magnetons per cell. The density of states at the Fermi level comes out at 6.69 states/eV/cell.

Cell and atoms, written as CIF:
```
data_LaSi2Tc
_chemical_formula_sum 'La2 Si4 Tc2'
_cell_length_a 4.727
_cell_length_b 4.727
_cell_length_c 6.535
_cell_angle_alpha 90.00
_cell_angle_beta 90.00
_cell_angle_gamma 90.00
_space_group_name_H-M_alt 'I -4 m 2'
_space_group_IT_number 119
_space_group_name_Hall 'I -4 -2'
loop_
_atom_site_label
_atom_site_type_symbol
_atom_site_fract_x
_atom_site_fract_y
_atom_site_fract_z
La1 La 0.000 0.000 0.000
Si1 Si 0.000 0.000 0.500
Si2 Si 0.000 0.500 0.250
Tc1 Tc 0.000 0.500 0.750
```

=====

*B*
A relaxed structure of LaSi2Tc, computed with PBE.

Properties
The size of the total moment is 0.0 Bohr magnetons per cell. The density of states at the Fermi level comes out at 3.86 states/eV/cell.

Cell and atoms, written as CIF:
```
data_LaSi2Tc
_chemical_formula_sum 'La1 Si2 Tc1'
_cell_length_a 4.090
_cell_length_b 4.090
_cell_length_c 4.448
_cell_angle_alpha 90.00
_cell_angle_beta 90.00
_cell_angle_gamma 90.00
_space_group_name_H-M_alt 'P 4/m m m'
_space_group_IT_number 123
_space_group_name_Hall '-P 4 2'
loop_
_atom_site_label
_atom_site_type_symbol
_atom_site_fract_x
_atom_site_fract_y
_atom_site_fract_z
La1 La 0.000 0.000 0.000
Si1 Si 0.000 0.500 0.500
Tc1 Tc 0.500 0.500 0.000
```

=====

List of relative energies, unit kJ/mol of atoms: *A* 9.3; *B* 0.0

=====

*A*
A relaxed structure of LaSi2Tc, computed with PBE.

Properties
The size of the total moment is 0.0 Bohr magnetons per cell. The density of states at the Fermi level comes out at 6.83 states/eV/cell.

Cell and atoms, written as CIF:
```
data_LaSi2Tc
_chemical_formula_sum 'La2 Si4 Tc2'
_cell_length_a 3.313
_cell_length_b 3.858
_cell_length_c 12.308
_cell_angle_alpha 90.00
_cell_angle_beta 90.00
_cell_angle_gamma 90.00
_space_group_name_H-M_alt 'I m m 2'
_space_group_IT_number 44
loop_
_space_group_symop_operation_xyz
'x,y,z'
'-x,-y,z'
'-x,y,z'
'x,-y,z'
'x+1/2,y+1/2,z+1/2'
'-x+1/2,-y+1/2,z+1/2'
'-x+1/2,y+1/2,z+1/2'
'x+1/2,-y+1/2,z+1/2'
loop_
_atom_site_label
_atom_site_type_symbol
_atom_site_fract_x
_atom_site_fract_y
_atom_site_fract_z
La1 La 0.000 0.000 0.000
Si1 Si 0.000 0.000 0.628
Si2 Si 0.000 0.500 0.754
Tc1 Tc 0.000 0.500 0.277
```

=====

*B*
A relaxed structure of LaSi2Tc, computed with PBE.

Properties
The size of the total moment is 0.0 Bohr magnetons per cell. The density of states at the Fermi level comes out at 9.01 states/eV/cell.

Cell and atoms, written as CIF:
```
data_LaSi2Tc
_chemical_formula_sum 'La4 Si8 Tc4'
_cell_length_a 4.936
_cell_length_b 4.936
_cell_length_c 15.628
_cell_angle_alpha 90.00
_cell_angle_beta 90.00
_cell_angle_gamma 90.00
_space_group_name_H-M_alt 'I -4 2 d'
_space_group_IT_number 122
_space_group_name_Hall 'I -4 2bw'
loop_
_atom_site_label
_atom_site_type_symbol
_atom_site_fract_x
_atom_site_fract_y
_atom_site_fract_z
La1 La 0.000 0.000 0.000
Si1 Si 0.001 0.250 0.625
Tc1 Tc 0.000 0.000 0.500
```

=====

*C*
A relaxed structure of LaSi2Tc, computed with PBE.

Properties
The size of the total moment is 0.0 Bohr magnetons per cell. The density of states at the Fermi level comes out at 12.05 states/eV/cell.

Cell and atoms, written as CIF:
```
data_LaSi2Tc
_chemical_formula_sum 'La3 Si6 Tc3'
_cell_length_a 3.1596
_cell_length_b 3.1596
_cell_length_c 25.7708
_cell_angle_alpha 90.00
_cell_angle_beta 90.00
_cell_angle_gamma 120.00
_space_group_name_H-M_alt 'R 3 m'
_space_group_IT_number 160
_space_group_name_Hall 'R 3 -2"'
loop_
_atom_site_label
_atom_site_type_symbol
_atom_site_fract_x
_atom_site_fract_y
_atom_site_fract_z
La1 La 0.0000 0.0000 0.0000
Si1 Si 0.0000 0.0000 0.2314
Si2 Si 0.0000 0.0000 0.4937
Tc1 Tc 0.0000 0.0000 0.7628
```

=====

List of relative energies, unit kJ/mol of atoms: *A* 5.2; *B* 0.0; *C* 55.6

=====

*A*
A relaxed structure of LaSi2Tc2, computed with PBE.

Properties
The size of the total moment is 0.0 Bohr magnetons per cell. The density of states at the Fermi level comes out at 6.27 states/eV/cell.

Cell and atoms, written as CIF:
```
data_LaSi2Tc2
_chemical_formula_sum 'La2 Si4 Tc4'
_cell_length_a 7.506
_cell_length_b 7.506
_cell_length_c 3.013
_cell_angle_alpha 90.00
_cell_angle_beta 90.00
_cell_angle_gamma 90.00
_space_group_name_H-M_alt 'P 4/m b m'
_space_group_IT_number 127
_space_group_name_Hall '-P 4 2ab'
loop_
_atom_site_label
_atom_site_type_symbol
_atom_site_fract_x
_atom_site_fract_y
_atom_site_fract_z
La1 La 0.000 0.000 0.000
Si1 Si 0.127 0.373 0.000
Tc1 Tc 0.146 0.646 0.500
```

=====

*B*
A relaxed structure of LaSi2Tc2, computed with PBE.

Properties
The size of the total moment is 0.0 Bohr magnetons per cell. The density of states at the Fermi level comes out at 10.89 states/eV/cell.

Cell and atoms, written as CIF:
```
data_LaSi2Tc2
_chemical_formula_sum 'La2 Si4 Tc4'
_cell_length_a 4.224
_cell_length_b 4.224
_cell_length_c 10.320
_cell_angle_alpha 90.00
_cell_angle_beta 90.00
_cell_angle_gamma 90.00
_space_group_name_H-M_alt 'I 4/m m m'
_space_group_IT_number 139
_space_group_name_Hall '-I 4 2'
loop_
_atom_site_label
_atom_site_type_symbol
_atom_site_fract_x
_atom_site_fract_y
_atom_site_fract_z
La1 La 0.000 0.000 0.000
Si1 Si 0.000 0.000 0.370
Tc1 Tc 0.000 0.500 0.250
```

=====

List of relative energies, unit kJ/mol of atoms: *A* 34.4; *B* 0.0